1.
Compound: PmErLuAg
Source: the Alexandria database
Functional: PBE-GGA
Structure: relaxed

```
data_PmErLuAg
_chemical_formula_sum 'Pm1 Er1 Lu1 Ag1'
_symmetry_space_group_name_H-M 'P 1'
_symmetry_Int_Tables_number 1
_cell_length_a 5.356
_cell_length_b 5.356
_cell_length_c 5.356
_cell_angle_alpha 60.00
_cell_angle_beta 60.00
_cell_angle_gamma 60.00
loop_
_symmetry_equiv_pos_as_xyz
'x,y,z'
loop_
_atom_site_label
_atom_site_type_symbol
_atom_site_fract_x
_atom_site_fract_y
_atom_site_fract_z
Er1 Er 0.000 0.000 0.000
Pm1 Pm 0.750 0.750 0.750
Ag1 Ag 0.250 0.250 0.250
Lu1 Lu 0.500 0.500 0.500
```

Its total moment is 0.00 μB/cell. As for the symmetry: No. 216. The density of states at the Fermi level comes out at 5.67 states/eV/f.u. The electronic total energy is -4.07 eV/atom. The value obtained for the formation energy is 0.104 eV per atom.

***

2.
Compound: PrErLuAg
Source: the Alexandria database
Functional: PBE-GGA
Structure: relaxed

```
data_PrErLuAg
_chemical_formula_sum 'Pr1 Er1 Lu1 Ag1'
_symmetry_space_group_name_H-M 'P 1'
_symmetry_Int_Tables_number 1
_cell_length_a 5.404
_cell_length_b 5.404
_cell_length_c 5.404
_cell_angle_alpha 60.00
_cell_angle_beta 60.00
_cell_angle_gamma 60.00
loop_
_symmetry_equiv_pos_as_xyz
'x,y,z'
loop_
_atom_site_label
_atom_site_type_symbol
_atom_site_fract_x
_atom_site_fract_y
_atom_site_fract_z
Er1 Er 0.000 0.000 0.000
Pr1 Pr 0.500 0.500 0.500
Ag1 Ag 0.750 0.750 0.750
Lu1 Lu 0.250 0.250 0.250
```

Its total moment is 0.00 μB/cell. As for the symmetry: No. 216. The density of states at the Fermi level comes out at 3.45 states/eV/f.u. The electronic total energy is -4.13 eV/atom. The value obtained for the formation energy is 0.050 eV per atom.

***

3.
Compound: ErLuAgRh
Source: the Alexandria database
Functional: PBE-GGA
Structure: relaxed

```
data_ErLuAgRh
_chemical_formula_sum 'Er1 Lu1 Ag1 Rh1'
_symmetry_space_group_name_H-M 'P 1'
_symmetry_Int_Tables_number 1
_cell_length_a 4.915
_cell_length_b 4.915
_cell_length_c 4.915
_cell_angle_alpha 60.00
_cell_angle_beta 60.00
_cell_angle_gamma 60.00
loop_
_symmetry_equiv_pos_as_xyz
'x,y,z'
loop_
_atom_site_label
_atom_site_type_symbol
_atom_site_fract_x
_atom_site_fract_y
_atom_site_fract_z
Ag1 Ag 0.250 0.250 0.250
Rh1 Rh 0.750 0.750 0.750
Er1 Er 0.500 0.500 0.500
Lu1 Lu 0.000 0.000 0.000
```

Its total moment is 0.00 μB/cell. As for the symmetry: No. 216. The density of states at the Fermi level comes out at 3.30 states/eV/f.u. The electronic total energy is -5.45 eV/atom. The value obtained for the formation energy is -0.626 eV per atom.